The following is a GGA+U calculation of SrNiN2F after structural relaxation, from Alexandria.

Cell lengths 4.782, 4.782, 4.455 Å; angles 90.00, 90.00, 90.00 degrees
Site moments in Bohr magnetons follow the coordinates.
Sites, in units of the cell vectors:
F  0.000  0.000  0.500  -0.03
Ni  0.500  0.500  0.500  1.70
N  0.000  0.500  0.000  0.10
N  0.500  0.000  0.000  0.10
Sr  0.000  0.000  0.000  0.04

Summary:
- Final energy: -16.7 eV for the cell shown
- Offset from the most stable computed form: 7.585 eV/f.u.